[1]
Material: Th4Sn3H4
Method: DFT, PBE
State: optimized geometry

* volume: 228.0 Å³/f.u.
* final energy: -5.3979 eV per atom

Unit cell a=4.5153 b=7.1184 c=14.1843 alpha=90.00 beta=90.00 gamma=90.00
Space group Immm (No. 71)
Inequivalent atoms, fractional coordinates:
Th1 0.0000 0.0000 0.2211
Th2 0.0000 0.2246 0.5000
Sn1 0.0000 0.0000 0.0000
Sn2 0.0000 0.5000 0.1233
H1 0.0000 0.3074 0.3199

[2]
Material: MgNi2OsC
Method: DFT, PBE
State: optimized geometry

* volume: 59.7 Å³/f.u.
* energy of formation from the pure elements: -18 meV per atom

Unit cell a=3.8746 b=3.8746 c=3.9795 alpha=90.00 beta=90.00 gamma=90.00
Space group P4/mmm (No. 123)
Inequivalent atoms, fractional coordinates:
Mg1 0.0000 0.0000 0.0000
Ni1 0.0000 0.5000 0.5000
Os1 0.5000 0.5000 0.0000
C1 0.5000 0.5000 0.5000

M_tot for the records above, in order: 0.0, 0.0 μB per formula unit